1.
DFT (PBE) results for a geometry-optimized HPb3W structure.

Cell lengths 5.3830, 5.3830, 5.3830 Å; angles 90.00, 90.00, 90.00 degrees
Last column: nearest neighbours and their distance in Å.
Atoms (fractional coordinates):
H1 0.0000 0.0000 0.0000  12 Pb 3.81
Pb1 0.0000 0.5000 0.5000  2 W 2.69
Pb2 0.5000 0.0000 0.5000  2 W 2.69
Pb3 0.5000 0.5000 0.0000  2 W 2.69
W1 0.5000 0.5000 0.5000  6 Pb 2.69

Computed properties:
theoretical density: 8.59 Mg/m³
magnetic moment: 1.0 μB per formula unit
N(E_F): 0.580 states/eV/atom
DFT total energy: -4.57 eV per atom

2.
DFT (PBE) results for a geometry-optimized KYSeI2 structure.

Cell lengths 6.1768, 6.1768, 5.4213 Å; angles 90.00, 90.00, 90.00 degrees
Last column: nearest neighbours and their distance in Å.
Atoms (fractional coordinates):
K1 0.0000 0.0000 0.0000  8 I 4.11, 4 Se 4.37
Y1 0.5000 0.5000 0.5000  2 Se 2.71
Se1 0.5000 0.5000 0.0000  2 Y 2.71
I1 0.0000 0.5000 0.5000  2 Y 3.09
I2 0.5000 0.0000 0.5000  2 Y 3.09

Computed properties:
theoretical density: 3.70 Mg/m³
magnetic moment: 0.0 μB per formula unit
uncorrected formation energy: -1.39 eV/atom
DFT total energy: -4.22 eV per atom